First-principles (PBE+U) data for an optimized crystal structure of WO2F, as listed in Alexandria via LeMat-Bulk.

Summary:
For the total DFT energy (no corrections), the calculation gives -6.076 eV per atom. The value obtained for the energy above the most stable polymorph in this dataset is 866 meV/atom.

Geometry as POSCAR:
```
WO2F
1.0
-2.9158 2.9158 4.6906
2.9158 -2.9158 4.6906
2.9158 2.9158 -4.6906
W O F
2 4 2
Direct
0.0000 0.0000 0.0000 W
0.7500 0.2500 0.5000 W
0.3750 0.1272 0.2522 O
0.8728 0.1250 0.2478 O
0.8750 0.1228 0.7478 O
0.8772 0.6250 0.7522 O
0.2500 0.7500 0.5000 F
0.5000 0.5000 0.0000 F
```